# As2RuW

As2RuW after structural relaxation (GGA-PBE, Alexandria).

Formation energy ... -4 meV/atom
Crystal system ... tetragonal
Magnetization ... 0.0000 μB per atom
Relative energy among the computed polymorphs ... 0 meV per atom
Symmetry ... P4mm

abc: 2.871 2.871 8.855
angles: 90.00 90.00 90.00
Positions (direct):
As1 0.000 0.000 0.000
As2 0.500 0.500 0.390
Ru1 0.000 0.000 0.576
W1 0.500 0.500 0.781